(1)
Below is a relaxed EuThCu4 crystal, with properties calculated at the PBE level. Values from VASP.

The value obtained for the volume is 18.2 Å³ per atom. The space-group type is F-43m. The energy of formation from the pure elements is -16 meV/atom. As for the total energy: -5.696 eV per atom. For the theoretical density, the calculation gives 9.706 g/cm3.

Structure (Quantum ESPRESSO input):
```
&SYSTEM
  ibrav = 0, nat = 6, ntyp = 3
/
ATOMIC_SPECIES
Eu 151.96 Eu.upf
Th 232.04 Th.upf
Cu 63.55 Cu.upf
CELL_PARAMETERS angstrom
0.0000 3.7935 3.7935
3.7935 0.0000 3.7935
3.7935 3.7935 0.0000
ATOMIC_POSITIONS crystal
Eu 0.0000 0.0000 0.0000
Th 0.7500 0.7500 0.7500
Cu 0.3746 0.3746 0.3746
Cu 0.3746 0.3746 0.8761
Cu 0.3746 0.8761 0.3746
Cu 0.8761 0.3746 0.3746
```


(2)
Below is a relaxed EuThTlCu crystal, with properties calculated at the PBE level. Values from VASP.

The value obtained for the volume is 27.2 Å³ per atom. The space-group type is F-43m. The energy of formation from the pure elements is -62 meV/atom. As for the total energy: -6.101 eV per atom. For the theoretical density, the calculation gives 9.963 g/cm3.

Structure (Quantum ESPRESSO input):
```
&SYSTEM
  ibrav = 0, nat = 4, ntyp = 4
/
ATOMIC_SPECIES
Eu 151.96 Eu.upf
Th 232.04 Th.upf
Tl 204.38 Tl.upf
Cu 63.55 Cu.upf
CELL_PARAMETERS angstrom
0.0000 3.7875 3.7875
3.7875 0.0000 3.7875
3.7875 3.7875 0.0000
ATOMIC_POSITIONS crystal
Eu 0.0000 0.0000 0.0000
Th 0.5000 0.5000 0.5000
Tl 0.7500 0.7500 0.7500
Cu 0.2500 0.2500 0.2500
```


(3)
Below is a relaxed EuThZnCu crystal, with properties calculated at the PBE level. Values from VASP.

The value obtained for the volume is 24.2 Å³ per atom. The space-group type is F-43m. The energy of formation from the pure elements is -80 meV/atom. As for the total energy: -5.846 eV per atom. For the theoretical density, the calculation gives 8.804 g/cm3.

Structure (Quantum ESPRESSO input):
```
&SYSTEM
  ibrav = 0, nat = 4, ntyp = 4
/
ATOMIC_SPECIES
Eu 151.96 Eu.upf
Th 232.04 Th.upf
Zn 65.41 Zn.upf
Cu 63.55 Cu.upf
CELL_PARAMETERS angstrom
0.0000 3.6436 3.6436
3.6436 0.0000 3.6436
3.6436 3.6436 0.0000
ATOMIC_POSITIONS crystal
Eu 0.0000 0.0000 0.0000
Th 0.5000 0.5000 0.5000
Zn 0.7500 0.7500 0.7500
Cu 0.2500 0.2500 0.2500
```


(4)
Below is a relaxed EuTiCu2 crystal, with properties calculated at the PBE level. Values from VASP.

The value obtained for the volume is 18.5 Å³ per atom. The space-group type is P4/mmm. The energy of formation from the pure elements is 4 meV/atom. As for the total energy: -6.587 eV per atom. For the theoretical density, the calculation gives 7.325 g/cm3.

Structure (Quantum ESPRESSO input):
```
&SYSTEM
  ibrav = 0, nat = 4, ntyp = 3
/
ATOMIC_SPECIES
Eu 151.96 Eu.upf
Ti 47.87 Ti.upf
Cu 63.55 Cu.upf
CELL_PARAMETERS angstrom
3.2600 0.0000 0.0000
0.0000 3.2600 0.0000
0.0000 0.0000 6.9740
ATOMIC_POSITIONS crystal
Eu 0.0000 0.0000 0.0000
Ti 0.0000 0.0000 0.5000
Cu 0.5000 0.5000 0.3126
Cu 0.5000 0.5000 0.6874
```


(5)
Below is a relaxed EuTlCu2 crystal, with properties calculated at the PBE level. Values from VASP.

The value obtained for the volume is 20.6 Å³ per atom. The space-group type is Fm-3m. The energy of formation from the pure elements is -16 meV/atom. As for the total energy: -5.224 eV per atom. For the theoretical density, the calculation gives 9.749 g/cm3.

Structure (Quantum ESPRESSO input):
```
&SYSTEM
  ibrav = 0, nat = 4, ntyp = 3
/
ATOMIC_SPECIES
Eu 151.96 Eu.upf
Tl 204.38 Tl.upf
Cu 63.55 Cu.upf
CELL_PARAMETERS angstrom
0.0000 3.4530 3.4530
3.4530 0.0000 3.4530
3.4530 3.4530 0.0000
ATOMIC_POSITIONS crystal
Eu 0.0000 0.0000 0.0000
Tl 0.5000 0.5000 0.5000
Cu 0.2500 0.2500 0.2500
Cu 0.7500 0.7500 0.7500
```


(6)
Below is a relaxed EuYTlCu crystal, with properties calculated at the PBE level. Values from VASP.

The value obtained for the volume is 26.2 Å³ per atom. The space-group type is F-43m. The energy of formation from the pure elements is -205 meV/atom. As for the total energy: -6.006 eV per atom. For the theoretical density, the calculation gives 8.056 g/cm3.

Structure (Quantum ESPRESSO input):
```
&SYSTEM
  ibrav = 0, nat = 4, ntyp = 4
/
ATOMIC_SPECIES
Eu 151.96 Eu.upf
Y 88.91 Y.upf
Tl 204.38 Tl.upf
Cu 63.55 Cu.upf
CELL_PARAMETERS angstrom
0.0000 3.7430 3.7430
3.7430 0.0000 3.7430
3.7430 3.7430 0.0000
ATOMIC_POSITIONS crystal
Eu 0.0000 0.0000 0.0000
Y 0.5000 0.5000 0.5000
Tl 0.7500 0.7500 0.7500
Cu 0.2500 0.2500 0.2500
```


(7)
Below is a relaxed EuTmCu crystal, with properties calculated at the PBE level. Values from VASP.

The value obtained for the volume is 26.6 Å³ per atom. The space-group type is I4mm. The energy of formation from the pure elements is -99 meV/atom. As for the total energy: -6.380 eV per atom. For the theoretical density, the calculation gives 8.012 g/cm3.

Structure (Quantum ESPRESSO input):
```
&SYSTEM
  ibrav = 0, nat = 3, ntyp = 3
/
ATOMIC_SPECIES
Eu 151.96 Eu.upf
Tm 168.93 Tm.upf
Cu 63.55 Cu.upf
CELL_PARAMETERS angstrom
-1.7763 1.7763 6.3136
1.7763 -1.7763 6.3136
1.7763 1.7763 -6.3136
ATOMIC_POSITIONS crystal
Eu 0.0000 0.0000 0.0000
Tm 0.2707 0.2707 0.0000
Cu 0.6594 0.6594 0.0000
```


(8)
Below is a relaxed EuTm2Cu crystal, with properties calculated at the PBE level. Values from VASP.

The energy above the most stable polymorph in this dataset is 0.0000 eV per atom. The value obtained for the volume is 27.3 Å³ per atom. The space-group type is P4/mmm. The energy of formation from the pure elements is -67 meV/atom. As for the total energy: -5.895 eV per atom. For the theoretical density, the calculation gives 8.401 g/cm3.

Structure (Quantum ESPRESSO input):
```
&SYSTEM
  ibrav = 0, nat = 4, ntyp = 3
/
ATOMIC_SPECIES
Eu 151.96 Eu.upf
Tm 168.93 Tm.upf
Cu 63.55 Cu.upf
CELL_PARAMETERS angstrom
3.4780 0.0000 0.0000
0.0000 3.4780 0.0000
0.0000 0.0000 9.0426
ATOMIC_POSITIONS crystal
Eu 0.0000 0.0000 0.0000
Tm 0.5000 0.5000 0.3178
Tm 0.5000 0.5000 0.6822
Cu 0.0000 0.0000 0.5000
```


(9)
Below is a relaxed EuTm2Cu crystal, with properties calculated at the PBE level. Values from VASP.

The energy above the most stable polymorph in this dataset is 0.1217 eV per atom. The value obtained for the volume is 29.0 Å³ per atom. The space-group type is R-3m. The energy of formation from the pure elements is 55 meV/atom. As for the total energy: -5.773 eV per atom. For the theoretical density, the calculation gives 7.909 g/cm3.

Structure (Quantum ESPRESSO input):
```
&SYSTEM
  ibrav = 0, nat = 4, ntyp = 3
/
ATOMIC_SPECIES
Eu 151.96 Eu.upf
Tm 168.93 Tm.upf
Cu 63.55 Cu.upf
CELL_PARAMETERS angstrom
1.8360 1.0600 9.9495
-1.8360 1.0600 9.9495
0.0000 -2.1201 9.9495
ATOMIC_POSITIONS crystal
Eu 0.0000 0.0000 0.0000
Tm 0.2290 0.2290 0.2290
Tm 0.7710 0.7710 0.7710
Cu 0.5000 0.5000 0.5000
```


(10)
Below is a relaxed EuTmZnCu crystal, with properties calculated at the PBE level. Values from VASP.

The value obtained for the volume is 22.8 Å³ per atom. The space-group type is F-43m. The energy of formation from the pure elements is -192 meV/atom. As for the total energy: -5.221 eV per atom. For the theoretical density, the calculation gives 8.201 g/cm3.

Structure (Quantum ESPRESSO input):
```
&SYSTEM
  ibrav = 0, nat = 4, ntyp = 4
/
ATOMIC_SPECIES
Eu 151.96 Eu.upf
Tm 168.93 Tm.upf
Zn 65.41 Zn.upf
Cu 63.55 Cu.upf
CELL_PARAMETERS angstrom
0.0000 3.5712 3.5712
3.5712 0.0000 3.5712
3.5712 3.5712 0.0000
ATOMIC_POSITIONS crystal
Eu 0.0000 0.0000 0.0000
Tm 0.5000 0.5000 0.5000
Zn 0.2500 0.2500 0.2500
Cu 0.7500 0.7500 0.7500
```


(11)
Below is a relaxed EuY2Cu crystal, with properties calculated at the PBE level. Values from VASP.

The energy above the most stable polymorph in this dataset is 0.1061 eV per atom. The value obtained for the volume is 30.6 Å³ per atom. The space-group type is R-3m. The energy of formation from the pure elements is 57 meV/atom. As for the total energy: -6.768 eV per atom. For the theoretical density, the calculation gives 5.336 g/cm3.

Structure (Quantum ESPRESSO input):
```
&SYSTEM
  ibrav = 0, nat = 4, ntyp = 3
/
ATOMIC_SPECIES
Eu 151.96 Eu.upf
Y 88.91 Y.upf
Cu 63.55 Cu.upf
CELL_PARAMETERS angstrom
1.8750 1.0825 10.0497
-1.8750 1.0825 10.0497
0.0000 -2.1651 10.0497
ATOMIC_POSITIONS crystal
Eu 0.0000 0.0000 0.0000
Y 0.2288 0.2288 0.2288
Y 0.7712 0.7712 0.7712
Cu 0.5000 0.5000 0.5000
```


(12)
Below is a relaxed Eu2YCu crystal, with properties calculated at the PBE level. Values from VASP.

The energy above the most stable polymorph in this dataset is 0.0000 eV per atom. The value obtained for the volume is 30.4 Å³ per atom. The space-group type is P4/mmm. The energy of formation from the pure elements is 26 meV/atom. As for the total energy: -7.751 eV per atom. For the theoretical density, the calculation gives 6.237 g/cm3.

Structure (Quantum ESPRESSO input):
```
&SYSTEM
  ibrav = 0, nat = 4, ntyp = 3
/
ATOMIC_SPECIES
Eu 151.96 Eu.upf
Y 88.91 Y.upf
Cu 63.55 Cu.upf
CELL_PARAMETERS angstrom
3.6594 0.0000 0.0000
0.0000 3.6594 0.0000
0.0000 0.0000 9.0742
ATOMIC_POSITIONS crystal
Eu 0.0000 0.0000 0.1952
Eu 0.0000 0.0000 0.8048
Y 0.5000 0.5000 0.5000
Cu 0.5000 0.5000 0.0000
```


(13)
Below is a relaxed EuYCu4 crystal, with properties calculated at the PBE level. Values from VASP.

The value obtained for the volume is 17.8 Å³ per atom. The space-group type is F-43m. The energy of formation from the pure elements is -90 meV/atom. As for the total energy: -5.610 eV per atom. For the theoretical density, the calculation gives 7.712 g/cm3.

Structure (Quantum ESPRESSO input):
```
&SYSTEM
  ibrav = 0, nat = 6, ntyp = 3
/
ATOMIC_SPECIES
Eu 151.96 Eu.upf
Y 88.91 Y.upf
Cu 63.55 Cu.upf
CELL_PARAMETERS angstrom
0.0000 3.7632 3.7632
3.7632 0.0000 3.7632
3.7632 3.7632 0.0000
ATOMIC_POSITIONS crystal
Eu 0.0000 0.0000 0.0000
Y 0.7500 0.7500 0.7500
Cu 0.3756 0.3756 0.3756
Cu 0.3756 0.3756 0.8732
Cu 0.3756 0.8732 0.3756
Cu 0.8732 0.3756 0.3756
```